Compound: SrCa2Sn
Source: Alexandria via LeMat-Bulk
Functional: PBE
Structure: relaxed

Calculated values
Total energy: -2.511 eV per atom
ΔE_f: -0.089 eV per atom

Cell: 5.0008 5.0008 24.1262 Å, 90.00 90.00 90.00°
With the nearest neighbours (Å) after each atom.
Space group I-42d (No. 122)
Unique sites:
Sr 0.0000 0.0000 0.0000 [4 per cell]  4 Sn 3.54, 4 Ca 3.55
Ca 0.2221 0.2500 0.6250 [8 per cell]  4 Ca 3.34-3.74, 2 Sn 3.45, 2 Sr 3.55
Sn 0.0000 0.0000 0.5000 [4 per cell]  4 Ca 3.45, 4 Sr 3.54